No. 1
AlTl3Ir: optimized geometry, GGA-PBE.

Summary:
energy of formation from the pure elements	2.07	eV/f.u.
energy relative to the lowest polymorph listed for this composition	0.000	eV/atom

a b c (Å): 5.2925 5.2925 5.2925
angles (deg): 90.00 90.00 90.00
Closest atoms and distances in Å follow each position.
Sites, in units of the cell vectors:
Al 0.0000 0.0000 0.0000  12 Tl 3.74
Tl 0.0000 0.5000 0.5000  2 Ir 2.65
Tl 0.5000 0.0000 0.5000  2 Ir 2.65
Tl 0.5000 0.5000 0.0000  2 Ir 2.65
Ir 0.5000 0.5000 0.5000  6 Tl 2.65

---

No. 2
Mn4Zn3: optimized geometry, GGA-PBE.

Summary:
energy of formation from the pure elements	1.64	eV/f.u.
energy relative to the lowest polymorph listed for this composition	0.091	eV/atom

a b c (Å): 4.8226 4.8226 4.5654
angles (deg): 90.00 90.00 120.00
Closest atoms and distances in Å follow each position.
Sites, in units of the cell vectors:
Mn 0.0000 0.0000 0.2244  1 Mn 2.05
Mn 0.0000 0.0000 0.7756  1 Mn 2.05
Mn 0.3333 0.6667 0.0000  6 Zn 2.67, 9 Mn 2.78-2.97
Mn 0.6667 0.3333 0.0000  6 Zn 2.67, 9 Mn 2.78-2.97
Zn 0.0000 0.5000 0.5000  4 Zn 2.41, 4 Mn 2.67
Zn 0.5000 0.0000 0.5000  4 Zn 2.41, 4 Mn 2.67
Zn 0.5000 0.5000 0.5000  4 Zn 2.41, 4 Mn 2.67

---

No. 3
NaCaF3: optimized geometry, GGA-PBE.

Summary:
energy relative to the lowest polymorph listed for this composition	0.129	eV/atom
formation energy (no corrections)	-3.275	eV/atom

a b c (Å): 4.4302 4.4302 4.4302
angles (deg): 90.00 90.00 90.00
Closest atoms and distances in Å follow each position.
Sites, in units of the cell vectors:
Na 0.0000 0.0000 0.0000  12 F 3.13
Ca 0.5000 0.5000 0.5000  6 F 2.22
F 0.0000 0.5000 0.5000  2 Ca 2.22
F 0.5000 0.0000 0.5000  2 Ca 2.22
F 0.5000 0.5000 0.0000  2 Ca 2.22

---

No. 4
BeCoHg2: optimized geometry, GGA-PBE.

Summary:
energy of formation from the pure elements	0.98	eV/f.u.

a b c (Å): 2.9484 2.9484 7.2789
angles (deg): 90.00 90.00 90.00
Closest atoms and distances in Å follow each position.
Sites, in units of the cell vectors:
Be 0.0000 0.0000 0.0000  4 Co 2.23
Co 0.5000 0.5000 0.1095  4 Be 2.23
Hg 0.0000 0.0000 0.3696  1 Be 2.69, 4 Co 2.82, 4 Hg 2.95
Hg 0.5000 0.5000 0.7283  1 Co 2.77, 4 Be 2.87, 4 Hg 2.95